# CeNpPd2 | the Alexandria database | PBE | optimized geometry
data_CeNpPd2
_chemical_formula_sum 'Ce1 Np1 Pd2'
_cell_length_a 10.542
_cell_length_b 10.542
_cell_length_c 10.542
_cell_angle_alpha 16.26
_cell_angle_beta 16.26
_cell_angle_gamma 16.26
_symmetry_space_group_name_H-M 'P 1'
_symmetry_Int_Tables_number 1
_symmetry_space_group_name_Hall 'P 1'
loop_
_atom_site_label
_atom_site_type_symbol
_atom_site_fract_x
_atom_site_fract_y
_atom_site_fract_z
Ce1 Ce 0.000 0.000 0.000
Np1 Np 0.500 0.500 0.500
Pd1 Pd 0.084 0.084 0.084
Pd2 Pd 0.916 0.916 0.916
# Raw total energy = -7.366 eV per atom
# DOS(E_F) = 1.247 states/eV per atom
# Total magnetic moment = 4.0 Bohr magnetons per cell
# Energy of formation from the pure elements = -0.2 eV per formula unit
# SG = R-3m (166)